No. 1
Below is Ce2GeBr after structural relaxation, with properties calculated at the PBE-GGA level.

Results
- calculated volume (Å³/f.u.) = 109.9
- N(E_F) (states/eV per atom) = 3.12
- E_form (uncorrected) (kcal/mol of atoms) = -23.4
- crystal system = trigonal
- SG = R-3m (166)

The structure in POSCAR format:
```
Ce2GeBr
1.0
2.159 1.246 6.809
-2.159 1.246 6.809
0.000 -2.493 6.809
Ce Ge Br
2 1 1
direct
0.245 0.245 0.245
0.755 0.755 0.755
0.500 0.500 0.500
0.000 0.000 0.000
```

---

No. 2
Below is Ce2Pm3SmDy6 after structural relaxation, with properties calculated at the PBE-GGA level.

Results
- DFT formation energy (eV/atom) = 0.046
- calculated volume (Å³/f.u.) = 385.3
- N(E_F) (states/eV per atom) = 1.74
- crystal system = monoclinic
- SG = C2/m (12)

The structure in POSCAR format:
```
Ce2Pm3SmDy6
1.0
3.097 -5.365 0.000
3.097 5.365 0.000
-2.065 0.000 11.593
Ce Pm Sm Dy
2 3 1 6
direct
0.167 0.833 0.000
0.833 0.167 0.000
0.000 0.000 0.500
0.334 0.666 0.500
0.666 0.334 0.500
0.500 0.500 0.000
0.082 0.417 0.753
0.247 0.247 0.247
0.417 0.082 0.753
0.583 0.918 0.247
0.753 0.753 0.753
0.918 0.583 0.247
```

---

No. 3
Below is Sm2Ni3Sn4Au after structural relaxation, with properties calculated at the PBE-GGA level.

Results
- DFT formation energy (eV/atom) = -0.521
- calculated volume (Å³/f.u.) = 208.5
- N(E_F) (states/eV per atom) = 0.46
- crystal system = tetragonal
- SG = P-4m2 (115)

The structure in POSCAR format:
```
Sm2Ni3Sn4Au
1.0
4.474 0.000 0.000
0.000 4.474 0.000
0.000 0.000 10.417
Sm Ni Sn Au
2 3 4 1
direct
0.000 0.500 0.248
0.500 0.000 0.752
0.000 0.000 0.000
0.000 0.500 0.619
0.500 0.000 0.381
0.000 0.000 0.500
0.000 0.500 0.857
0.500 0.000 0.143
0.500 0.500 0.500
0.500 0.500 0.000
```

---

No. 4
Below is SrZr2Pt after structural relaxation, with properties calculated at the PBE-GGA level.

Results
- DFT formation energy (eV/atom) = 0.334
- calculated volume (Å³/f.u.) = 130.6
- N(E_F) (states/eV per atom) = 1.18
- crystal system = tetragonal
- SG = I-42d (122)

The structure in POSCAR format:
```
SrZr2Pt
1.0
-2.624 2.624 9.486
2.624 -2.624 9.486
2.624 2.624 -9.486
Sr Zr Pt
2 4 2
direct
0.000 0.000 0.000
0.750 0.250 0.500
0.347 0.625 0.222
0.375 0.597 0.722
0.403 0.125 0.778
0.875 0.653 0.278
0.250 0.750 0.500
0.500 0.500 0.000
```

---

No. 5
Below is Th2Si3Pt9 after structural relaxation, with properties calculated at the PBE-GGA level.

Results
- calculated volume (Å³/f.u.) = 240.7
- N(E_F) (states/eV per atom) = 0.38
- E_form (uncorrected) (kcal/mol of atoms) = -21.7
- crystal system = monoclinic
- SG = C2/c (15)

The structure in POSCAR format:
```
Th2Si3Pt9
1.0
6.721 -3.837 0.000
6.721 3.837 0.000
-4.530 0.000 9.334
Th Si Pt
4 6 18
direct
0.088 0.259 0.248
0.259 0.088 0.748
0.741 0.912 0.252
0.912 0.741 0.752
0.000 0.500 0.000
0.149 0.678 0.503
0.322 0.851 0.997
0.500 0.000 0.500
0.678 0.149 0.003
0.851 0.322 0.497
0.012 0.865 0.075
0.135 0.988 0.425
0.194 0.357 0.567
0.204 0.585 0.261
0.303 0.491 0.942
0.357 0.194 0.067
0.358 0.642 0.750
0.415 0.796 0.239
0.491 0.303 0.442
0.509 0.697 0.558
0.585 0.204 0.761
0.642 0.358 0.250
0.643 0.806 0.933
0.697 0.509 0.058
0.796 0.415 0.739
0.806 0.643 0.433
0.865 0.012 0.575
0.988 0.135 0.925
```

---

No. 6
Below is CoNiSb after structural relaxation, with properties calculated at the PBE-GGA level.

Results
- calculated volume (Å³/f.u.) = 41.9
- N(E_F) (states/eV per atom) = 0.86
- E_form (uncorrected) (kcal/mol of atoms) = 0.8
- crystal system = hexagonal
- SG = P6_3/mmc (194)

The structure in POSCAR format:
```
CoNiSb
1.0
4.241 0.000 0.000
-2.121 3.673 0.000
0.000 0.000 5.376
Co Ni Sb
2 2 2
direct
0.000 0.000 0.000
0.000 0.000 0.500
0.333 0.667 0.250
0.667 0.333 0.750
0.333 0.667 0.750
0.667 0.333 0.250
```

---

No. 7
Below is ZrGaH after structural relaxation, with properties calculated at the PBE-GGA level.

Results
- calculated volume (Å³/f.u.) = 44.6
- N(E_F) (states/eV per atom) = 0.51
- calculated total energy (eV per atom) = -5.19
- crystal system = tetragonal
- SG = I4mm (107)

The structure in POSCAR format:
```
ZrGaH
1.0
-1.469 1.469 5.161
1.469 -1.469 5.161
1.469 1.469 -5.161
Zr Ga H
1 1 1
direct
0.000 0.000 0.000
0.282 0.282 0.000
0.553 0.553 0.000
```

---

No. 8
Below is Li2YCd2 after structural relaxation, with properties calculated at the PBE-GGA level.

Results
- DFT formation energy (eV/atom) = -0.182
- calculated volume (Å³/f.u.) = 113.5
- N(E_F) (states/eV per atom) = 0.67
- crystal system = tetragonal
- SG = I4/mmm (139)

The structure in POSCAR format:
```
Li2YCd2
1.0
-2.024 2.024 6.924
2.024 -2.024 6.924
2.024 2.024 -6.924
Li Y Cd
2 1 2
direct
0.250 0.750 0.500
0.750 0.250 0.500
0.000 0.000 0.000
0.392 0.392 0.000
0.608 0.608 0.000
```

---

No. 9
Below is MgReSn2Br after structural relaxation, with properties calculated at the PBE-GGA level.

Results
- calculated volume (Å³/f.u.) = 145.6
- N(E_F) (states/eV per atom) = 0.49
- E_form (uncorrected) (kcal/mol of atoms) = 30.9
- crystal system = tetragonal
- SG = P4/mmm (123)

The structure in POSCAR format:
```
MgReSn2Br
1.0
5.664 0.000 0.000
0.000 5.664 0.000
0.000 0.000 4.538
Mg Re Sn Br
1 1 2 1
direct
0.000 0.000 0.000
0.500 0.500 0.000
0.000 0.500 0.500
0.500 0.000 0.500
0.500 0.500 0.500
```

---

No. 10
Below is MgAg2Pd2 after structural relaxation, with properties calculated at the PBE-GGA level.

Results
- DFT formation energy (eV/atom) = -0.170
- calculated volume (Å³/f.u.) = 90.5
- N(E_F) (states/eV per atom) = 0.17
- crystal system = tetragonal
- SG = P4/mbm (127)

The structure in POSCAR format:
```
MgAg2Pd2
1.0
6.712 0.000 0.000
0.000 6.712 0.000
0.000 0.000 4.018
Mg Ag Pd
2 4 4
direct
0.000 0.000 0.000
0.500 0.500 0.000
0.160 0.340 0.500
0.340 0.840 0.500
0.660 0.160 0.500
0.840 0.660 0.500
0.140 0.640 0.000
0.360 0.140 0.000
0.640 0.860 0.000
0.860 0.360 0.000
```

---

No. 11
Below is KPmPtO3 after structural relaxation, with properties calculated at the PBE-GGA level.

Results
- calculated volume (Å³/f.u.) = 97.8
- E_form (uncorrected) (kcal/mol of atoms) = -44.2
- crystal system = monoclinic
- SG = C2/m (12)

The structure in POSCAR format:
```
KPmPtO3
1.0
6.647 -1.984 0.000
6.647 1.984 0.000
-2.026 0.000 7.418
K Pm Pt O
2 2 2 6
direct
0.142 0.142 0.063
0.858 0.858 0.937
0.150 0.150 0.579
0.850 0.850 0.421
0.493 0.493 0.723
0.507 0.507 0.277
0.007 0.007 0.318
0.330 0.330 0.632
0.346 0.346 0.226
0.654 0.654 0.774
0.670 0.670 0.368
0.993 0.993 0.682
```

---

No. 12
Below is Ac2TbSn after structural relaxation, with properties calculated at the PBE-GGA level.

Results
- DFT formation energy (eV/atom) = -0.323
- calculated volume (Å³/f.u.) = 137.8
- N(E_F) (states/eV per atom) = 1.29
- crystal system = tetragonal
- SG = P4/mmm (123)

The structure in POSCAR format:
```
Ac2TbSn
1.0
5.187 0.000 0.000
0.000 5.187 0.000
0.000 0.000 5.121
Ac Tb Sn
2 1 1
direct
0.000 0.500 0.000
0.500 0.000 0.000
0.000 0.000 0.500
0.500 0.500 0.500
```